## Li3CuSn2 (PBE)

Data for a relaxed Li3CuSn2 crystal.

abc: 3.0649 4.4641 7.8670
angles: 90.00 90.00 90.00
Sites, in units of the cell vectors:
Li: 0.0000 0.0000 0.0000
Li: 0.0000 0.0000 0.3306
Li: 0.0000 0.5000 0.8236
Cu: 0.0000 0.5000 0.4934
Sn: 0.5000 0.0000 0.6515
Sn: 0.5000 0.5000 0.1740

Results
For the formation energy, the calculation gives -0.221 eV per atom. The calculation puts the electronic total energy at -3.195 eV/atom. The spin magnetization comes out at 0.000 μB per cell. The offset from the most stable computed form comes out at 0.0408 eV per atom.